Entry 1:
Here is NaCo3 after structural relaxation from Alexandria via LeMat-Bulk. Energies are from GGA-PBEsol.

The structure in POSCAR format:
```
NaCo3
1.0
3.982 0.000 0.000
0.000 5.815 0.000
0.000 -2.908 5.036
Co Na
6 2
direct
0.750 0.867 0.133
0.750 0.266 0.133
0.750 0.867 0.734
0.250 0.133 0.266
0.250 0.734 0.867
0.250 0.133 0.867
0.750 0.333 0.667
0.250 0.667 0.333
```

Results
magnetic moment = 5.26 μB/f.u.
calculated total energy = -5.41 eV per atom
DFT formation energy = 0.74 eV per atom
space-group type = P6_3/mmc, No. 194

=====

Entry 2:
Here is RbHg3Pt after structural relaxation from Alexandria via LeMat-Bulk. Energies are from GGA-PBEsol.

The structure in POSCAR format:
```
RbHg3Pt
1.0
-3.096 4.244 0.558
-2.590 -2.406 3.926
3.408 2.028 3.491
Rb Hg Pt
1 3 1
direct
0.500 0.500 0.500
0.000 0.500 0.000
0.000 0.000 0.500
0.500 0.000 0.000
0.000 0.000 0.000
```

Results
magnetic moment = 0.00 μB/f.u.
calculated total energy = -2.18 eV per atom
relative energy among the computed polymorphs = 0.000 eV per formula unit
DFT formation energy = -0.24 eV per atom
space-group type = Pm-3m, No. 221

=====

Entry 3:
Here is MoCl2 after structural relaxation from Alexandria via LeMat-Bulk. Energies are from GGA-PBEsol.

The structure in POSCAR format:
```
MoCl2
1.0
-6.310 -1.812 6.447
4.279 -8.029 -1.378
7.451 2.594 8.022
Cl Mo
24 12
direct
0.085 0.322 0.076
0.542 0.305 0.296
0.289 0.711 0.000
0.305 0.542 0.296
0.458 0.695 0.704
0.822 0.585 0.424
0.195 0.958 0.796
0.042 0.805 0.204
0.322 0.085 0.076
0.415 0.178 0.576
0.354 0.354 0.854
0.211 0.789 0.500
0.711 0.289 0.000
0.915 0.678 0.924
0.805 0.042 0.204
0.854 0.854 0.646
0.695 0.458 0.704
0.958 0.195 0.796
0.789 0.211 0.500
0.646 0.646 0.146
0.585 0.822 0.424
0.178 0.415 0.576
0.678 0.915 0.924
0.146 0.146 0.354
0.068 0.068 0.148
0.627 0.373 0.500
0.568 0.568 0.352
0.148 0.148 0.932
0.373 0.627 0.500
0.648 0.648 0.568
0.352 0.352 0.432
0.127 0.873 0.000
0.873 0.127 0.000
0.432 0.432 0.648
0.852 0.852 0.068
0.932 0.932 0.852
```

Results
magnetic moment = 0.00 μB/f.u.
calculated total energy = -6.23 eV per atom
relative energy among the computed polymorphs = 0.000 eV per formula unit
E_form (uncorrected) = -0.971 eV/atom
space-group type = Cmce, No. 64